No. 1
Compound: Tl2TeMoOs
Source: the Alexandria database
Functional: PBE
Structure: relaxed Values from VASP.

Structure (Quantum ESPRESSO input):
```
&SYSTEM
  ibrav = 0, nat = 5, ntyp = 4
/
ATOMIC_SPECIES
Te 127.60 Te.upf
Tl 204.38 Tl.upf
Os 190.23 Os.upf
Mo 95.94 Mo.upf
CELL_PARAMETERS angstrom
-4.997 -2.985 1.809
2.470 -4.469 -0.550
1.894 0.335 5.784
ATOMIC_POSITIONS crystal
Te 0.000 0.000 0.000
Tl 0.500 0.000 0.000
Tl 0.000 0.000 0.500
Os 0.500 0.500 0.500
Mo 0.000 0.500 0.000
```

Output
Uncorrected formation energy, eV per formula unit: 10.92
Crystal system: tetragonal

No. 2
Compound: Tb2ThRu3
Source: the Alexandria database
Functional: PBE
Structure: relaxed Values from VASP.

Structure (Quantum ESPRESSO input):
```
&SYSTEM
  ibrav = 0, nat = 6, ntyp = 3
/
ATOMIC_SPECIES
Tb 158.93 Tb.upf
Ru 101.07 Ru.upf
Th 232.04 Th.upf
CELL_PARAMETERS angstrom
3.417 0.000 0.000
0.000 5.599 0.000
-1.708 -2.799 6.903
ATOMIC_POSITIONS crystal
Tb 0.666 0.166 0.332
Tb 0.334 0.834 0.668
Ru 0.340 0.340 0.680
Ru 0.660 0.660 0.320
Ru 0.000 0.000 0.000
Th 0.000 0.500 0.000
```

Output
Energy relative to the elements, meV per atom: -17
Crystal system: orthorhombic
Distance to the lowest polymorph of the same formula, meV/atom: 375